Record 1
# Dy2Sc2Tl2O

A relaxed Dy2Sc2Tl2O crystal (PBE, Alexandria).

Its total DFT energy (no corrections) is -5.64 eV per atom. The density of states at the Fermi level comes out at 0.314 states/eV/atom. As for the space-group type: No. 139. The calculation puts the raw formation energy at -1.134 eV per atom.

a b c (Å): 8.5974 8.5974 8.5974
angles (deg): 150.04 150.04 42.88
Last column: nearest neighbours and their distance in Å.
Sites, in units of the cell vectors:
Dy  0.1660  0.1660  0.0000  1 O 2.66
Dy  0.8340  0.8340  0.0000  1 O 2.66
Sc  0.0000  0.5000  0.5000  2 O 2.22
Sc  0.5000  0.0000  0.5000  2 O 2.22
Tl  0.3652  0.3652  0.0000  4 Sc 3.10, 5 Dy 3.18-3.19
Tl  0.6348  0.6348  0.0000  4 Sc 3.10, 5 Dy 3.18-3.19
O  0.0000  0.0000  0.0000  4 Sc 2.22

Record 2
# Pr3NdRh

A relaxed Pr3NdRh crystal (PBE, Alexandria).

The formation energy comes out at -211 meV per atom. Its total DFT energy (no corrections) is -5.50 eV per atom. The density of states at the Fermi level comes out at 1.275 states/eV/atom. As for the space-group type: No. 31.

a b c (Å): 7.8980 6.7268 6.4393
angles (deg): 90.00 90.00 90.00
Last column: nearest neighbours and their distance in Å.
Sites, in units of the cell vectors:
Pr  0.0000  0.1531  0.0000  1 Rh 2.87
Pr  0.2498  0.3164  0.5073  2 Rh 2.83
Pr  0.2502  0.6836  0.0073  2 Rh 2.83
Pr  0.5000  0.8469  0.5000  1 Rh 2.87
Pr  0.7502  0.3164  0.5073  2 Rh 2.83
Pr  0.7498  0.6836  0.0073  2 Rh 2.83
Nd  0.0000  0.8457  0.5145  1 Rh 2.84
Nd  0.5000  0.1543  0.0145  1 Rh 2.84
Rh  0.0000  0.5017  0.2578  5 Pr 2.83-2.87, 1 Nd 2.84
Rh  0.5000  0.4983  0.7578  5 Pr 2.83-2.87, 1 Nd 2.84

Record 3
# LaTcF6

A relaxed LaTcF6 crystal (PBE, Alexandria).

Its total DFT energy (no corrections) is -6.26 eV per atom. The density of states at the Fermi level comes out at 0.561 states/eV/atom. As for the space-group type: No. 2. The calculation puts the raw formation energy at -2.946 eV per atom.

a b c (Å): 6.0584 6.0888 6.1627
angles (deg): 90.04 119.44 119.74
Last column: nearest neighbours and their distance in Å.
Sites, in units of the cell vectors:
La  0.0000  0.0000  0.0000  6 F 2.32-2.34
Tc  0.0000  0.5000  0.5000  6 F 2.03-2.05
F  0.0458  0.7329  0.2642  1 Tc 2.05
F  0.0470  0.7792  0.7311  1 Tc 2.03
F  0.4650  0.6892  0.7353  1 Tc 2.03
F  0.5350  0.3108  0.2647  1 Tc 2.03
F  0.9530  0.2208  0.2689  1 Tc 2.03
F  0.9542  0.2671  0.7358  1 Tc 2.05

Record 4
# BeNbCu

A relaxed BeNbCu crystal (PBE, Alexandria).

The formation energy comes out at 132 meV per atom. Its total DFT energy (no corrections) is -5.83 eV per atom. The density of states at the Fermi level comes out at 0.362 states/eV/atom. As for the space-group type: No. 194.

a b c (Å): 4.2335 4.2335 5.0426
angles (deg): 90.00 90.00 120.00
Last column: nearest neighbours and their distance in Å.
Sites, in units of the cell vectors:
Be  0.3333  0.6667  0.2500  5 Nb 2.44-2.52
Be  0.6667  0.3333  0.7500  5 Nb 2.44-2.52
Nb  0.3333  0.6667  0.7500  5 Be 2.44-2.52
Nb  0.6667  0.3333  0.2500  5 Be 2.44-2.52
Cu  0.0000  0.0000  0.0000  2 Cu 2.52, 6 Nb 2.75, 6 Be 2.75
Cu  0.0000  0.0000  0.5000  2 Cu 2.52, 6 Nb 2.75, 6 Be 2.75

Record 5
# Na2CdPt

A relaxed Na2CdPt crystal (PBE, Alexandria).

The formation energy comes out at 4 meV per atom. Its total DFT energy (no corrections) is -2.39 eV per atom. The density of states at the Fermi level comes out at 0.322 states/eV/atom. As for the space-group type: No. 122.

a b c (Å): 11.0824 11.0824 11.0824
angles (deg): 158.63 158.63 30.40
Last column: nearest neighbours and their distance in Å.
Sites, in units of the cell vectors:
Na  0.1069  0.6250  0.9819  4 Na 2.80-3.01, 2 Pt 3.02, 2 Cd 3.07
Na  0.3750  0.3569  0.4819  4 Na 2.80-3.01, 2 Pt 3.02, 2 Cd 3.07
Na  0.6431  0.1250  0.0181  4 Na 2.80-3.01, 2 Pt 3.02, 2 Cd 3.07
Na  0.8750  0.8931  0.5181  4 Na 2.80-3.01, 2 Pt 3.02, 2 Cd 3.07
Cd  0.2500  0.7500  0.5000  4 Pt 2.91, 4 Na 3.07
Cd  0.5000  0.5000  0.0000  4 Pt 2.91, 4 Na 3.07
Pt  0.0000  0.0000  0.0000  4 Cd 2.91, 4 Na 3.02
Pt  0.7500  0.2500  0.5000  4 Cd 2.91, 4 Na 3.02

Record 6
# Ca3AcP3

A relaxed Ca3AcP3 crystal (PBE, Alexandria).

The formation energy comes out at -1219 meV per atom. Its total DFT energy (no corrections) is -4.98 eV per atom. As for the space-group type: No. 198.

a b c (Å): 8.9788 8.9788 8.9788
angles (deg): 90.00 90.00 90.00
Last column: nearest neighbours and their distance in Å.
Sites, in units of the cell vectors:
Ca  0.0589  0.4411  0.5589  3 P 2.85
Ca  0.1820  0.1820  0.1820  6 P 2.97-3.25
Ca  0.1871  0.8129  0.3129  3 P 2.92
Ca  0.3129  0.1871  0.8129  3 P 2.92
Ca  0.3180  0.8180  0.6820  6 P 2.97-3.25
Ca  0.4411  0.5589  0.0589  3 P 2.85
Ca  0.5589  0.0589  0.4411  3 P 2.85
Ca  0.6820  0.3180  0.8180  6 P 2.97-3.25
Ca  0.6871  0.6871  0.6871  3 P 2.92
Ca  0.8129  0.3129  0.1871  3 P 2.92
Ca  0.8180  0.6820  0.3180  6 P 2.97-3.25
Ca  0.9411  0.9411  0.9411  3 P 2.85
Ac  0.0664  0.5664  0.9336  6 P 2.98-3.27
Ac  0.4336  0.4336  0.4336  6 P 2.98-3.27
Ac  0.5664  0.9336  0.0664  6 P 2.98-3.27
Ac  0.9336  0.0664  0.5664  6 P 2.98-3.27
P  0.0006  0.7466  0.6242  3 Ca 2.85-2.97, 1 Ac 2.98
P  0.1242  0.4994  0.2534  3 Ca 2.85-2.97, 1 Ac 2.98
P  0.2466  0.8758  0.9994  3 Ca 2.85-2.97, 1 Ac 2.98
P  0.2534  0.1242  0.4994  3 Ca 2.85-2.97, 1 Ac 2.98
P  0.3758  0.5006  0.7534  3 Ca 2.85-2.97, 1 Ac 2.98
P  0.4994  0.2534  0.1242  3 Ca 2.85-2.97, 1 Ac 2.98
P  0.5006  0.7534  0.3758  3 Ca 2.85-2.97, 1 Ac 2.98
P  0.6242  0.0006  0.7466  3 Ca 2.85-2.97, 1 Ac 2.98
P  0.7466  0.6242  0.0006  3 Ca 2.85-2.97, 1 Ac 2.98
P  0.7534  0.3758  0.5006  3 Ca 2.85-2.97, 1 Ac 2.98
P  0.8758  0.9994  0.2466  3 Ca 2.85-2.97, 1 Ac 2.98
P  0.9994  0.2466  0.8758  3 Ca 2.85-2.97, 1 Ac 2.98

Record 7
# FeHg4P

A relaxed FeHg4P crystal (PBE, Alexandria).

The formation energy comes out at 874 meV per atom. Its total DFT energy (no corrections) is -1.64 eV per atom. The density of states at the Fermi level comes out at 1.085 states/eV/atom. As for the space-group type: No. 216.

a b c (Å): 5.7779 5.7779 5.7779
angles (deg): 60.00 60.00 60.00
Last column: nearest neighbours and their distance in Å.
Sites, in units of the cell vectors:
Fe  0.0000  0.0000  0.0000  12 Hg 3.39, 4 P 3.54
Hg  0.1249  0.6250  0.6250  6 Hg 2.89
Hg  0.6250  0.1249  0.6250  6 Hg 2.89
Hg  0.6250  0.6250  0.1249  6 Hg 2.89
Hg  0.6250  0.6250  0.6250  6 Hg 2.89
P  0.2500  0.2500  0.2500  12 Hg 3.39, 4 Fe 3.54

Record 8
# CsMg3Ag4Br12

A relaxed CsMg3Ag4Br12 crystal (PBE, Alexandria).

Its total DFT energy (no corrections) is -2.77 eV per atom. The density of states at the Fermi level comes out at 0.989 states/eV/atom. As for the space-group type: No. 155. The calculation puts the raw formation energy at -0.911 eV per atom.

a b c (Å): 9.3929 9.3929 9.3929
angles (deg): 108.14 108.14 108.14
Last column: nearest neighbours and their distance in Å.
Sites, in units of the cell vectors:
Cs  0.0000  0.0000  0.0000  6 Br 3.64
Mg  0.0000  0.5700  0.4300  6 Br 2.63-2.76
Mg  0.4300  0.0000  0.5700  6 Br 2.63-2.76
Mg  0.5700  0.4300  0.0000  6 Br 2.63-2.76
Ag  0.0770  0.5000  0.9230  3 Br 2.60-2.65
Ag  0.5000  0.5000  0.5000  3 Br 2.62
Ag  0.5000  0.9230  0.0770  3 Br 2.60-2.65
Ag  0.9230  0.0770  0.5000  3 Br 2.60-2.65
Br  0.0652  0.6668  0.7477  1 Ag 2.60, 1 Mg 2.63
Br  0.0969  0.9031  0.5000  1 Ag 2.65, 2 Mg 2.76
Br  0.2523  0.3332  0.9348  1 Ag 2.60, 1 Mg 2.63
Br  0.3278  0.6722  0.5000  1 Ag 2.62, 2 Mg 2.71
Br  0.3332  0.9348  0.2523  1 Ag 2.60, 1 Mg 2.63
Br  0.5000  0.0969  0.9031  1 Ag 2.65, 2 Mg 2.76
Br  0.5000  0.3278  0.6722  1 Ag 2.62, 2 Mg 2.71
Br  0.6668  0.7477  0.0652  1 Ag 2.60, 1 Mg 2.63
Br  0.6722  0.5000  0.3278  1 Ag 2.62, 2 Mg 2.71
Br  0.7477  0.0652  0.6668  1 Ag 2.60, 1 Mg 2.63
Br  0.9031  0.5000  0.0969  1 Ag 2.65, 2 Mg 2.76
Br  0.9348  0.2523  0.3332  1 Ag 2.60, 1 Mg 2.63

Record 9
# TiRe3Mo2

A relaxed TiRe3Mo2 crystal (PBE, Alexandria).

The formation energy comes out at -156 meV per atom. Its total DFT energy (no corrections) is -11.31 eV per atom. The density of states at the Fermi level comes out at 0.587 states/eV/atom. As for the space-group type: No. 123.

a b c (Å): 3.1241 3.1241 9.4266
angles (deg): 90.00 90.00 90.00
Last column: nearest neighbours and their distance in Å.
Sites, in units of the cell vectors:
Ti  0.0000  0.0000  0.0000  8 Re 2.71
Re  0.5000  0.5000  0.1662  4 Mo 2.69, 4 Ti 2.71
Re  0.5000  0.5000  0.5000  8 Mo 2.73
Re  0.5000  0.5000  0.8338  4 Mo 2.69, 4 Ti 2.71
Mo  0.0000  0.0000  0.3294  8 Re 2.69-2.73
Mo  0.0000  0.0000  0.6706  8 Re 2.69-2.73

Record 10
# NbH3Au

A relaxed NbH3Au crystal (PBE, Alexandria).

Its total DFT energy (no corrections) is -4.15 eV per atom. The density of states at the Fermi level comes out at 0.365 states/eV/atom. As for the space-group type: No. 221.

a b c (Å): 3.6038 3.6038 3.6038
angles (deg): 90.00 90.00 90.00
Last column: nearest neighbours and their distance in Å.
Sites, in units of the cell vectors:
Nb  0.0000  0.0000  0.0000  12 H 2.55
H  0.0000  0.5000  0.5000  2 Au 1.80
H  0.5000  0.0000  0.5000  2 Au 1.80
H  0.5000  0.5000  0.0000  2 Au 1.80
Au  0.5000  0.5000  0.5000  6 H 1.80

Record 11
# ZrTa4Cl

A relaxed ZrTa4Cl crystal (PBE, Alexandria).

Its total DFT energy (no corrections) is -9.01 eV per atom. The density of states at the Fermi level comes out at 1.062 states/eV/atom. As for the space-group type: No. 216. The calculation puts the raw formation energy at 0.623 eV per atom.

a b c (Å): 5.6115 5.6115 5.6115
angles (deg): 60.00 60.00 60.00
Last column: nearest neighbours and their distance in Å.
Sites, in units of the cell vectors:
Zr  0.0000  0.0000  0.0000  12 Ta 3.28, 4 Cl 3.44
Ta  0.3716  0.3716  0.3716  6 Ta 2.73-2.88
Ta  0.3716  0.3716  0.8851  6 Ta 2.73-2.88
Ta  0.3716  0.8851  0.3716  6 Ta 2.73-2.88
Ta  0.8851  0.3716  0.3716  6 Ta 2.73-2.88
Cl  0.7500  0.7500  0.7500  12 Ta 3.30, 4 Zr 3.44